[1]
Entry from Alexandria via LeMat-Bulk: a geometry-optimized Ho4PdRu2 structure (PBE-GGA).

Unit cell a=7.417 b=7.417 c=7.417 alpha=109.18 beta=109.18 gamma=110.05
Atoms (fractional coordinates):
Ho1 0.002 0.387 0.250
Ho2 0.136 0.752 0.750
Ho3 0.137 0.252 0.750
Ho4 0.248 0.998 0.385
Ho5 0.502 0.386 0.250
Ho6 0.613 0.864 0.615
Ho7 0.614 0.863 0.115
Ho8 0.748 0.498 0.885
Pd1 0.000 0.000 0.000
Pd2 0.750 0.250 0.500
Ru1 0.226 0.625 0.101
Ru2 0.375 0.476 0.601
Ru3 0.524 0.125 0.899
Ru4 0.875 0.774 0.399

formation energy from the elements = -3.1 eV per formula unit
theoretical density = 10240 kg/m3
space-group type = I-42d (122)
total DFT energy (no corrections) = -6.455 eV per atom
E above lowest polymorph = 52 meV/atom

[2]
Entry from Alexandria via LeMat-Bulk: a geometry-optimized Ho4Pd3Ru structure (PBE-GGA).

Unit cell a=3.437 b=3.437 c=14.052 alpha=90.00 beta=90.00 gamma=90.00
Atoms (fractional coordinates):
Ho1 0.000 0.000 0.118
Ho2 0.000 0.000 0.373
Ho3 0.000 0.000 0.627
Ho4 0.000 0.000 0.882
Pd1 0.500 0.500 0.249
Pd2 0.500 0.500 0.500
Pd3 0.500 0.500 0.751
Ru1 0.500 0.500 0.000

formation energy from the elements = -6.5 eV per formula unit
theoretical density = 10803 kg/m3
space-group type = P4/mmm (123)
total DFT energy (no corrections) = -6.209 eV per atom

[3]
Entry from Alexandria via LeMat-Bulk: a geometry-optimized Ho5Pd2Ru structure (PBE-GGA).

Unit cell a=7.725 b=11.830 c=4.263 alpha=90.00 beta=90.00 gamma=90.00
Atoms (fractional coordinates):
Ho1 0.000 0.000 0.000
Ho2 0.158 0.298 0.000
Ho3 0.180 0.585 0.500
Ho4 0.320 0.085 0.500
Ho5 0.342 0.798 0.000
Ho6 0.500 0.500 0.000
Ho7 0.658 0.202 0.000
Ho8 0.680 0.915 0.500
Ho9 0.820 0.415 0.500
Ho10 0.842 0.702 0.000
Pd1 0.053 0.831 0.500
Pd2 0.447 0.331 0.500
Pd3 0.553 0.669 0.500
Pd4 0.947 0.169 0.500
Ru1 0.000 0.500 0.000
Ru2 0.500 0.000 0.000

formation energy from the elements = -4.8 eV per formula unit
theoretical density = 9706 kg/m3
space-group type = Pbam (55)
total DFT energy (no corrections) = -5.924 eV per atom

[4]
Entry from Alexandria via LeMat-Bulk: a geometry-optimized Ho6PdRu structure (PBE-GGA).

Unit cell a=6.417 b=6.417 c=6.712 alpha=99.68 beta=99.68 gamma=116.94
Atoms (fractional coordinates):
Ho1 0.062 0.414 0.243
Ho2 0.251 0.251 0.759
Ho3 0.414 0.062 0.243
Ho4 0.586 0.938 0.757
Ho5 0.749 0.749 0.241
Ho6 0.938 0.586 0.757
Pd1 0.500 0.500 0.500
Ru1 0.000 0.000 0.000

formation energy from the elements = -2.1 eV per formula unit
theoretical density = 8520 kg/m3
space-group type = C2/m (12)
total DFT energy (no corrections) = -5.503 eV per atom

[5]
Entry from Alexandria via LeMat-Bulk: a geometry-optimized Ho4PdRu2 structure (PBE-GGA).

Unit cell a=4.798 b=4.798 c=6.840 alpha=90.00 beta=90.00 gamma=90.00
Atoms (fractional coordinates):
Ho1 0.000 0.500 0.247
Ho2 0.000 0.500 0.753
Ho3 0.500 0.000 0.247
Ho4 0.500 0.000 0.753
Pd1 0.000 0.000 0.500
Ru1 0.000 0.000 0.000
Ru2 0.500 0.500 0.500

formation energy from the elements = -3.5 eV per formula unit
theoretical density = 10209 kg/m3
space-group type = P4/mmm (123)
total DFT energy (no corrections) = -6.507 eV per atom
E above lowest polymorph = 0 meV/atom

[6]
Entry from Alexandria via LeMat-Bulk: a geometry-optimized Ho5PdRu2 structure (PBE-GGA).

Unit cell a=8.399 b=8.399 c=8.399 alpha=125.95 beta=125.95 gamma=79.97
Atoms (fractional coordinates):
Ho1 0.000 0.000 0.000
Ho2 0.021 0.521 0.818
Ho3 0.203 0.021 0.500
Ho4 0.297 0.797 0.818
Ho5 0.479 0.297 0.500
Ho6 0.500 0.500 0.000
Ho7 0.521 0.703 0.500
Ho8 0.703 0.203 0.182
Ho9 0.797 0.979 0.500
Ho10 0.979 0.479 0.182
Pd1 0.250 0.250 0.000
Pd2 0.750 0.750 0.000
Ru1 0.142 0.358 0.500
Ru2 0.358 0.858 0.215
Ru3 0.642 0.142 0.785
Ru4 0.858 0.642 0.500

formation energy from the elements = -4.1 eV per formula unit
theoretical density = 10037 kg/m3
space-group type = I4/mcm (140)
total DFT energy (no corrections) = -6.337 eV per atom

[7]
Entry from Alexandria via LeMat-Bulk: a geometry-optimized Ho8PdRu5 structure (PBE-GGA).

Unit cell a=7.372 b=7.372 c=7.372 alpha=109.28 beta=109.28 gamma=109.86
Atoms (fractional coordinates):
Ho1 0.021 0.139 0.760
Ho2 0.259 0.501 0.609
Ho3 0.350 0.741 0.242
Ho4 0.379 0.261 0.240
Ho5 0.499 0.108 0.758
Ho6 0.739 0.979 0.118
Ho7 0.861 0.621 0.882
Ho8 0.892 0.650 0.391
Pd1 0.750 0.250 0.500
Ru1 0.145 0.031 0.390
Ru2 0.246 0.855 0.887
Ru3 0.500 0.500 0.000
Ru4 0.641 0.754 0.610
Ru5 0.969 0.359 0.113

formation energy from the elements = -4.6 eV per formula unit
theoretical density = 10396 kg/m3
space-group type = I-4 (82)
total DFT energy (no corrections) = -6.626 eV per atom

[8]
Entry from Alexandria via LeMat-Bulk: a geometry-optimized HoSbPdRu structure (PBE-GGA).

Unit cell a=4.725 b=4.725 c=4.725 alpha=60.00 beta=60.00 gamma=60.00
Atoms (fractional coordinates):
Ho1 0.000 0.000 0.000
Sb1 0.500 0.500 0.500
Pd1 0.750 0.750 0.750
Ru1 0.250 0.250 0.250

theoretical density = 10998 kg/m3
raw formation energy = -2.068 eV per formula unit
space-group type = F-43m (216)
total DFT energy (no corrections) = -6.309 eV per atom

Q: What is the total DFT energy (no corrections) in the fifth record?
A: -6.507 eV per atom

Q: What is the theoretical density in the first record?
A: 10240 kg/m3

Q: Look up the theoretical density of the eighth one.
A: 10998 kg/m3